DFT (GGA-PBE) results for a geometry-optimized PdPt2Se structure.

The value obtained for the density of states at the Fermi level is 0.559 states/eV per atom. The calculated total energy comes out at -5.14 eV/atom. For the calculated volume, the calculation gives 17.2 A^3/atom. As for the magnetic moment: 0.0 Bohr magnetons per cell. The value obtained for the density is 13.85 g cm⁻³.

The space group is I-42d (No. 122) and the conventional cell measures 7.2226, 7.2226 and 5.2908 Å, with angles of 90.00, 90.00 and 90.00 degrees. The asymmetric unit holds Pd at (0.0000, 0.0000, 0.0000), Pt at (0.2209, 0.2500, 0.6250) and Se at (0.0000, 0.0000, 0.5000).

=====

DFT (GGA-PBE) results for a geometry-optimized YCoSi2Au structure.

The value obtained for the density of states at the Fermi level is 1.282 states/eV per atom. The calculated total energy comes out at -4.99 eV/atom. For the calculated volume, the calculation gives 21.7 A^3/atom. As for the magnetic moment: 1.6 Bohr magnetons per cell. The value obtained for the density is 6.13 g cm⁻³.

The space group is P4/mmm (No. 123) and the conventional cell measures 4.7721, 4.7721 and 4.7694 Å, with angles of 90.00, 90.00 and 90.00 degrees. The asymmetric unit holds Y at (0.0000, 0.0000, 0.0000), Co at (0.5000, 0.5000, 0.0000), Si at (0.0000, 0.5000, 0.5000) and Au at (0.5000, 0.5000, 0.5000).

=====

DFT (GGA-PBE) results for a geometry-optimized YPuTlPd structure.

The value obtained for the density of states at the Fermi level is 2.801 states/eV per atom. The calculated total energy comes out at -7.38 eV/atom. For the calculated volume, the calculation gives 25.0 A^3/atom. As for the magnetic moment: 22.4 Bohr magnetons per cell. The value obtained for the density is 10.67 g cm⁻³.

The space group is F-43m (No. 216) and the conventional cell measures 7.3714, 7.3714 and 7.3714 Å, with angles of 90.00, 90.00 and 90.00 degrees. The asymmetric unit holds Y at (0.0000, 0.0000, 0.0000), Pu at (0.0000, 0.0000, 0.5000), Tl at (0.2500, 0.2500, 0.2500) and Pd at (0.2500, 0.2500, 0.7500).

=====

> Look up the calculated volume of the first one.

17.2 A^3/atom